## MgOs4Br (meta-GGA SCAN)

Data for a crystal of MgOs4Br relaxed with PBEsol.

a = 5.2166 Å, b = 5.2166 Å, c = 5.2166 Å
α = 60.00°, β = 60.00°, γ = 60.00°
Last column: magnetic moment on the atom in μB.
Atoms (fractional coordinates):
Os (0.3747, 0.3747, 0.8758)  0.52
Os (0.3747, 0.3747, 0.3747)  0.52
Os (0.3747, 0.8758, 0.3747)  0.52
Os (0.8758, 0.3747, 0.3747)  0.52
Br (0.7500, 0.7500, 0.7500)  0.16
Mg (0.0000, 0.0000, 0.0000)  -0.01

## Properties
SG   F-43m, No. 216
Total magnetic moment   2.486 μB/f.u.
V   16.7 Å³ per atom

***

## MgOsBr2 (meta-GGA SCAN)

Data for a crystal of MgOsBr2 relaxed with PBEsol.

a = 3.0935 Å, b = 3.2740 Å, c = 9.4725 Å
α = 90.00°, β = 90.00°, γ = 118.19°
Atoms (fractional coordinates):
Br (0.0000, 0.0000, 0.7914)
Br (0.0000, 0.0000, 0.2086)
Mg (0.5000, 0.0000, 0.5000)
Os (0.5000, 0.0000, 0.0000)

## Properties
SG   Cmmm, No. 65
Total magnetic moment   0.000 μB/f.u.
Excess energy over the best structure of this formula in the dataset   1.737 eV per formula unit
V   21.1 Å³ per atom

***

## MgOsBr2 (meta-GGA SCAN)

Data for a crystal of MgOsBr2 relaxed with PBEsol.

a = 3.1414 Å, b = 3.7777 Å, c = 8.0795 Å
α = 103.42°, β = 101.21°, γ = 90.00°
Atoms (fractional coordinates):
Os (0.2091, 0.7078, 0.4182)
Br (0.9756, 0.9767, 0.9512)
Br (0.7508, 0.2491, 0.5015)
Mg (0.5645, 0.5664, 0.1290)

## Properties
SG   Cm, No. 8
Total magnetic moment   0.000 μB/f.u.
Excess energy over the best structure of this formula in the dataset   0.000 eV per formula unit
V   22.8 Å³ per atom

***

## Mg2OsBr (meta-GGA SCAN)

Data for a crystal of Mg2OsBr relaxed with PBEsol.

a = 3.5070 Å, b = 3.5070 Å, c = 6.7566 Å
α = 90.00°, β = 90.00°, γ = 90.00°
Last column: magnetic moment on the atom in μB.
Atoms (fractional coordinates):
Br (0.5000, 0.5000, 0.8149)  0.00
Mg (0.0000, 0.0000, 0.0099)  0.00
Mg (0.5000, 0.5000, 0.2845)  0.00
Os (0.0000, 0.0000, 0.3907)  0.43

## Properties
SG   P4mm, No. 99
Total magnetic moment   0.493 μB/f.u.
Excess energy over the best structure of this formula in the dataset   0.000 eV per formula unit
V   20.8 Å³ per atom

***

## MgOsBr2 (meta-GGA SCAN)

Data for a crystal of MgOsBr2 relaxed with PBEsol.

a = 4.5794 Å, b = 4.5794 Å, c = 8.5958 Å
α = 105.45°, β = 105.45°, γ = 90.00°
Atoms (fractional coordinates):
Os (0.0000, 0.0000, 0.0000)
Os (0.2500, 0.7500, 0.5000)
Mg (0.7500, 0.2500, 0.5000)
Mg (0.5000, 0.5000, 0.0000)
Br (0.1250, 0.0995, 0.7500)
Br (0.3495, 0.8750, 0.2500)
Br (0.9005, 0.3750, 0.2500)
Br (0.6250, 0.6505, 0.7500)

## Properties
SG   I-42d, No. 122
Total magnetic moment   0.000 μB/f.u.
Excess energy over the best structure of this formula in the dataset   1.325 eV per formula unit
V   20.9 Å³ per atom

***

## MgOsBr2 (meta-GGA SCAN)

Data for a crystal of MgOsBr2 relaxed with PBEsol.

a = 4.8127 Å, b = 4.8127 Å, c = 4.8127 Å
α = 60.00°, β = 60.00°, γ = 60.00°
Last column: magnetic moment on the atom in μB.
Atoms (fractional coordinates):
Br (0.7500, 0.7500, 0.7500)  0.13
Br (0.0000, 0.0000, 0.0000)  0.02
Mg (0.5000, 0.5000, 0.5000)  -0.01
Os (0.2500, 0.2500, 0.2500)  1.70

## Properties
SG   F-43m, No. 216
Total magnetic moment   2.196 μB/f.u.
Excess energy over the best structure of this formula in the dataset   3.477 eV per formula unit
V   19.7 Å³ per atom

***

## Mg2OsBr (meta-GGA SCAN)

Data for a crystal of Mg2OsBr relaxed with PBEsol.

a = 4.0661 Å, b = 4.0661 Å, c = 5.0812 Å
α = 113.58°, β = 113.58°, γ = 90.00°
Atoms (fractional coordinates):
Mg (0.2500, 0.7500, 0.5000)
Mg (0.7500, 0.2500, 0.5000)
Os (0.5000, 0.5000, 0.0000)
Br (0.0000, 0.0000, 0.0000)

## Properties
SG   I4/mmm, No. 139
Total magnetic moment   0.001 μB/f.u.
Excess energy over the best structure of this formula in the dataset   1.127 eV per formula unit
V   17.3 Å³ per atom

***

## MgOsBr2 (meta-GGA SCAN)

Data for a crystal of MgOsBr2 relaxed with PBEsol.

a = 3.7284 Å, b = 3.7284 Å, c = 6.2844 Å
α = 107.26°, β = 107.26°, γ = 90.00°
Last column: magnetic moment on the atom in μB.
Atoms (fractional coordinates):
Br (0.7500, 0.2500, 0.5000)  0.04
Br (0.0000, 0.0000, 0.0000)  0.02
Mg (0.5000, 0.5000, 0.0000)  -0.02
Os (0.2500, 0.7500, 0.5000)  1.01

## Properties
SG   I-4m2, No. 119
Total magnetic moment   1.196 μB/f.u.
Excess energy over the best structure of this formula in the dataset   2.050 eV per formula unit
V   19.8 Å³ per atom

***

## MgSbOs2Br (meta-GGA SCAN)

Data for a crystal of MgSbOs2Br relaxed with PBEsol.

a = 4.6403 Å, b = 4.6403 Å, c = 4.7152 Å
α = 90.00°, β = 90.00°, γ = 90.00°
Atoms (fractional coordinates):
Os (0.0000, 0.5000, 0.0000)
Os (0.5000, 0.0000, 0.0000)
Br (0.0000, 0.0000, 0.0000)
Sb (0.5000, 0.5000, 0.5000)
Mg (0.0000, 0.0000, 0.5000)

## Properties
SG   P4/mmm, No. 123
Total magnetic moment   0.000 μB/f.u.
V   20.3 Å³ per atom

***

## MgP2Br (meta-GGA SCAN)

Data for a crystal of MgP2Br relaxed with PBEsol.

a = 3.3530 Å, b = 3.8286 Å, c = 8.5878 Å
α = 90.00°, β = 90.00°, γ = 115.97°
Atoms (fractional coordinates):
P (0.0000, 0.0000, 0.0054)
P (0.5000, 0.0000, 0.1627)
Mg (0.5000, 0.0000, 0.7725)
Br (0.0000, 0.0000, 0.5594)

## Properties
SG   Cmm2, No. 35
Total magnetic moment   0.000 μB/f.u.
Excess energy over the best structure of this formula in the dataset   0.237 eV per formula unit
V   24.8 Å³ per atom

***

## MgP2Br (meta-GGA SCAN)

Data for a crystal of MgP2Br relaxed with PBEsol.

a = 3.4215 Å, b = 4.8713 Å, c = 5.1081 Å
α = 90.00°, β = 90.00°, γ = 103.91°
Atoms (fractional coordinates):
Br (0.0000, 0.5000, 0.5000)
Mg (0.5000, 0.0000, 0.5000)
P (0.2985, 0.1508, 0.0000)
P (0.7015, 0.8492, 0.0000)

## Properties
SG   P2/m, No. 10
Total magnetic moment   0.000 μB/f.u.
Excess energy over the best structure of this formula in the dataset   0.000 eV per formula unit
V   20.7 Å³ per atom

***

## MgP2Br (meta-GGA SCAN)

Data for a crystal of MgP2Br relaxed with PBEsol.

a = 3.3629 Å, b = 3.3629 Å, c = 7.2153 Å
α = 90.00°, β = 90.00°, γ = 90.00°
Atoms (fractional coordinates):
P (0.5000, 0.5000, 0.1092)
P (0.0000, 0.0000, 0.0606)
Mg (0.5000, 0.5000, 0.7630)
Br (0.0000, 0.0000, 0.5672)

## Properties
SG   P4mm, No. 99
Total magnetic moment   0.000 μB/f.u.
Excess energy over the best structure of this formula in the dataset   0.060 eV per formula unit
V   20.4 Å³ per atom

***

E_tot: -50.83; -28.27; -28.70; -25.02; -28.37; -27.84; -24.74; -28.19; -39.33; -11.58; -11.64; -11.62 (eV/atom)